No. 1
Computed, not measured: ReSb2W after structural relaxation at the GGA-PBEsol level of DFT.

## Properties
Volume, Å³ per cell: 76
Raw formation energy, meV/atom: 643
Total energy, eV/atom: -8.42
Offset from the most stable computed form, meV/atom: 0.0
Calculated density, Mg/m³: 13.42
SG: Imm2 (44)

abc: 3.1500 4.3178 6.1900
angles: 110.41 104.74 90.00
Atoms (fractional coordinates):
1 Sb 0.9646 0.9646 0.9292
2 Re 0.2589 0.7589 0.5179
3 W 0.5543 0.5543 0.1085
4 Sb 0.7222 0.2222 0.4444

=====

No. 2
Computed, not measured: YReSb2 after structural relaxation at the GGA-PBEsol level of DFT.

## Properties
Volume, Å³ per cell: 82
Raw formation energy, meV/atom: -100
Total energy, eV/atom: -7.42
Calculated density, Mg/m³: 10.45
SG: P4/mmm (123)

abc: 3.3060 3.3060 7.5376
angles: 90.00 90.00 90.00
Atoms (fractional coordinates):
1 Sb 0.0000 0.0000 0.2874
2 Y 0.5000 0.5000 0.0000
3 Sb 0.0000 0.0000 0.7126
4 Re 0.5000 0.5000 0.5000

=====

No. 3
Computed, not measured: YRe3Sb after structural relaxation at the GGA-PBEsol level of DFT.

## Properties
Volume, Å³ per cell: 109
Raw formation energy, meV/atom: 2985
Total energy, eV/atom: -7.29
Calculated density, Mg/m³: 11.72
SG: Pm-3m (221)

abc: 4.7773 4.7773 4.7773
angles: 90.00 90.00 90.00
Each line ends with the local moment (μB).
Atoms (fractional coordinates):
1 Re 0.0000 0.0000 0.5000  0.64
2 Re 0.0000 0.5000 0.0000  0.64
3 Re 0.5000 0.0000 0.0000  0.64
4 Sb 0.5000 0.5000 0.5000  -0.03
5 Y 0.0000 0.0000 0.0000  -0.02

=====

No. 4
Computed, not measured: ZnReSb2 after structural relaxation at the GGA-PBEsol level of DFT.

## Properties
Volume, Å³ per cell: 80
Raw formation energy, meV/atom: 323
Total energy, eV/atom: -5.68
Calculated density, Mg/m³: 10.28
SG: P4/mmm (123)

abc: 3.2037 3.2037 7.7926
angles: 90.00 90.00 90.00
Atoms (fractional coordinates):
1 Sb 0.0000 0.0000 0.7129
2 Zn 0.5000 0.5000 0.0000
3 Sb 0.0000 0.0000 0.2871
4 Re 0.5000 0.5000 0.5000

=====

No. 5
Computed, not measured: ZnRe2Sb after structural relaxation at the GGA-PBEsol level of DFT.

## Properties
Volume, Å³ per cell: 63
Raw formation energy, meV/atom: 571
Total energy, eV/atom: -7.63
Offset from the most stable computed form, meV/atom: 0.0
Calculated density, Mg/m³: 14.84
SG: I-4m2 (119)

abc: 3.9806 3.9806 4.8524
angles: 114.22 114.22 90.00
Atoms (fractional coordinates):
1 Zn 0.2500 0.7500 0.5000
2 Re 0.0000 0.0000 0.0000
3 Re 0.7500 0.2500 0.5000
4 Sb 0.5000 0.5000 0.0000

=====

No. 6
Computed, not measured: ZnReSb2 after structural relaxation at the GGA-PBEsol level of DFT.

## Properties
Volume, Å³ per cell: 83
Raw formation energy, meV/atom: 445
Total energy, eV/atom: -5.56
Calculated density, Mg/m³: 9.92
SG: Imm2 (44)

abc: 3.2852 3.4672 7.6591
angles: 103.08 102.38 90.00
Atoms (fractional coordinates):
1 Sb 0.7077 0.2077 0.4155
2 Sb 0.9412 0.9412 0.8824
3 Re 0.2967 0.7967 0.5934
4 Zn 0.5544 0.5544 0.1088

=====

No. 7
Computed, not measured: ZnRe2Sb after structural relaxation at the GGA-PBEsol level of DFT.

## Properties
Volume, Å³ per cell: 74
Raw formation energy, meV/atom: 632
Total energy, eV/atom: -7.57
Offset from the most stable computed form, meV/atom: 60.9
Calculated density, Mg/m³: 12.61
SG: P2/m (10)

abc: 3.4080 4.5186 4.8248
angles: 90.00 97.48 90.00
Atoms (fractional coordinates):
1 Re 0.6879 0.0000 0.8180
2 Sb 0.5000 0.5000 0.5000
3 Zn 0.0000 0.5000 0.0000
4 Re 0.3121 0.0000 0.1820

=====

No. 8
Computed, not measured: ZnReSb2 after structural relaxation at the GGA-PBEsol level of DFT.

## Properties
Volume, Å³ per cell: 83
Raw formation energy, meV/atom: 602
Total energy, eV/atom: -5.40
Calculated density, Mg/m³: 9.92
SG: Cmmm (65)

abc: 3.0650 3.0650 9.8487
angles: 90.00 90.00 116.43
Atoms (fractional coordinates):
1 Sb 0.0000 0.0000 0.2217
2 Sb 0.0000 0.0000 0.7783
3 Re 0.5000 0.5000 0.0000
4 Zn 0.5000 0.5000 0.5000

=====

No. 9
Computed, not measured: ZnReSb2 after structural relaxation at the GGA-PBEsol level of DFT.

## Properties
Volume, Å³ per cell: 75
Raw formation energy, meV/atom: 746
Total energy, eV/atom: -5.26
Calculated density, Mg/m³: 10.95
SG: I-4m2 (119)

abc: 4.0991 4.0991 5.3258
angles: 112.63 112.63 90.00
Atoms (fractional coordinates):
1 Zn 0.5000 0.5000 0.0000
2 Sb 0.0000 0.0000 0.0000
3 Re 0.2500 0.7500 0.5000
4 Sb 0.7500 0.2500 0.5000

=====

No. 10
Computed, not measured: ZnReSb2 after structural relaxation at the GGA-PBEsol level of DFT.

## Properties
Volume, Å³ per cell: 75
Raw formation energy, meV/atom: 307
Total energy, eV/atom: -5.70
Calculated density, Mg/m³: 10.93
SG: Amm2 (38)

abc: 3.4747 4.4770 5.1395
angles: 90.00 109.76 90.00
Atoms (fractional coordinates):
1 Sb 0.0997 0.0000 0.1993
2 Zn 0.8279 0.0000 0.6558
3 Re 0.6764 0.5000 0.3528
4 Sb 0.3926 0.5000 0.7853

=====

No. 11
Computed, not measured: Zn2ReSb after structural relaxation at the GGA-PBEsol level of DFT.

## Properties
Volume, Å³ per cell: 72
Raw formation energy, meV/atom: 541
Total energy, eV/atom: -4.72
Calculated density, Mg/m³: 10.17
SG: Cmm2 (35)

abc: 2.8783 2.8783 9.8405
angles: 90.00 90.00 118.52
Atoms (fractional coordinates):
1 Re 0.0000 0.0000 0.5199
2 Sb 0.5000 0.5000 0.2816
3 Zn 0.0000 0.0000 0.9601
4 Zn 0.5000 0.5000 0.7384

=====

No. 12
Computed, not measured: Zn2ReSb after structural relaxation at the GGA-PBEsol level of DFT.

## Properties
Volume, Å³ per cell: 64
Raw formation energy, meV/atom: 409
Total energy, eV/atom: -4.85
Calculated density, Mg/m³: 11.45
SG: Immm (71)

abc: 3.4783 4.1719 5.1597
angles: 113.85 109.70 90.00
Atoms (fractional coordinates):
1 Zn 0.7557 0.7557 0.5113
2 Zn 0.2443 0.2443 0.4887
3 Re 0.5000 0.0000 0.0000
4 Sb 0.0000 0.5000 0.0000

=====

No. 13
Computed, not measured: ZnReSb3 after structural relaxation at the GGA-PBEsol level of DFT.

## Properties
Volume, Å³ per cell: 136
Raw formation energy, meV/atom: 767
Total energy, eV/atom: -4.95
Calculated density, Mg/m³: 7.56
SG: Pm-3m (221)

abc: 5.1372 5.1372 5.1372
angles: 90.00 90.00 90.00
Atoms (fractional coordinates):
1 Sb 0.0000 0.0000 0.5000
2 Sb 0.0000 0.5000 0.0000
3 Re 0.0000 0.0000 0.0000
4 Zn 0.5000 0.5000 0.5000
5 Sb 0.5000 0.0000 0.0000

=====

No. 14
Computed, not measured: Zn2ReSb after structural relaxation at the GGA-PBEsol level of DFT.

## Properties
Volume, Å³ per cell: 65
Raw formation energy, meV/atom: 601
Total energy, eV/atom: -4.66
Calculated density, Mg/m³: 11.17
SG: F-43m (216)

abc: 4.5186 4.5186 4.5186
angles: 60.00 60.00 60.00
Atoms (fractional coordinates):
1 Zn 0.0000 0.0000 0.0000
2 Zn 0.7500 0.7500 0.7500
3 Sb 0.2500 0.2500 0.2500
4 Re 0.5000 0.5000 0.5000

=====

No. 15
Computed, not measured: Zr2ReSb after structural relaxation at the GGA-PBEsol level of DFT.

## Properties
Volume, Å³ per cell: 77
Raw formation energy, meV/atom: -254
Total energy, eV/atom: -9.27
Calculated density, Mg/m³: 10.58
SG: Immm (71)

abc: 3.9945 4.6232 5.1671
angles: 116.57 112.74 90.00
Atoms (fractional coordinates):
1 Zr 0.7691 0.7691 0.5382
2 Zr 0.2309 0.2309 0.4618
3 Re 0.5000 0.0000 0.0000
4 Sb 0.0000 0.5000 0.0000